No. 1
TlFe2F | Alexandria via LeMat-Bulk | GGA+U | relaxed; space group = No. 225; E = -3.643 eV per atom; DOS at the Fermi energy = 1.410 states/eV per cell
1.0
0.000 3.253 3.253
3.253 0.000 3.253
3.253 3.253 0.000
Tl Fe F
1 2 1
Direct
0.500 0.500 0.500
0.750 0.750 0.750
0.250 0.250 0.250
0.000 0.000 0.000

---

No. 2
Tl2Fe3F9 | Alexandria via LeMat-Bulk | GGA+U | relaxed; space group = No. 15; E = -4.875 eV per atom; DOS at the Fermi energy = 11.154 states/eV per cell
1.0
4.993 -0.120 -2.891
-2.764 5.029 0.612
2.508 3.389 17.273
Fe F Tl
6 18 4
Direct
0.197 0.839 0.527
0.803 0.161 0.473
0.812 0.670 0.973
0.500 0.000 0.000
0.500 0.500 0.500
0.188 0.330 0.027
0.869 0.863 0.553
0.335 0.813 0.642
0.810 0.316 0.947
0.330 0.307 0.142
0.605 0.194 0.546
0.395 0.806 0.454
0.622 0.364 0.049
0.852 0.941 0.046
0.665 0.187 0.358
0.148 0.059 0.954
0.078 0.328 0.750
0.670 0.693 0.858
0.185 0.426 0.549
0.815 0.574 0.451
0.190 0.684 0.053
0.378 0.636 0.951
0.922 0.672 0.250
0.131 0.137 0.447
0.475 0.421 0.718
0.797 0.243 0.218
0.203 0.757 0.782
0.525 0.579 0.282

---

No. 3
Tl3Fe2F9 | Alexandria via LeMat-Bulk | GGA+U | relaxed; space group = No. 194; E = -4.708 eV per atom; DOS at the Fermi energy = 0.000 states/eV per cell
1.0
6.162 0.000 0.000
-3.081 5.336 0.000
0.000 0.000 15.700
F Fe Tl
18 4 6
Direct
0.818 0.637 0.097
0.637 0.818 0.597
0.056 0.528 0.750
0.472 0.528 0.750
0.182 0.363 0.597
0.637 0.818 0.903
0.182 0.363 0.903
0.944 0.472 0.250
0.363 0.182 0.403
0.363 0.182 0.097
0.182 0.818 0.597
0.528 0.472 0.250
0.182 0.818 0.903
0.818 0.182 0.097
0.528 0.056 0.250
0.472 0.944 0.750
0.818 0.637 0.403
0.818 0.182 0.403
0.333 0.667 0.842
0.667 0.333 0.158
0.333 0.667 0.658
0.667 0.333 0.342
0.333 0.667 0.430
0.667 0.333 0.930
0.667 0.333 0.570
0.333 0.667 0.070
0.000 0.000 0.750
0.000 0.000 0.250

---

For each record above, in turn, the calculated size of the total moment values are 1.56, 0.93, 0.71 μB per atom.